# 1
! Pu2WN4 PBE relaxed; values from VASP
! DFT total energy = -11.516 eV per atom
! DOS at the Fermi energy = 1.83 states/eV per atom
&SYSTEM
  ibrav = 0, nat = 14, ntyp = 3
/
ATOMIC_SPECIES
N 14.01 N.upf
W 183.84 W.upf
Pu 244.00 Pu.upf
ATOMIC_POSITIONS crystal
N 0.553 0.005 0.761
W 0.227 0.750 0.187
N 0.977 0.250 0.093
Pu 0.320 0.250 0.957
N 0.553 0.495 0.761
N 0.023 0.750 0.907
N 0.447 0.995 0.239
Pu 0.771 0.750 0.566
N 0.972 0.250 0.640
W 0.773 0.250 0.813
Pu 0.680 0.750 0.043
N 0.447 0.505 0.239
N 0.028 0.750 0.360
Pu 0.229 0.250 0.434
CELL_PARAMETERS angstrom
-5.168 0.773 -2.907
2.245 -2.677 -4.703
-0.263 -5.772 3.160

# 2
! EuTePd2 PBE relaxed; values from VASP
! DFT total energy = -6.617 eV per atom
! DOS at the Fermi energy = 2.73 states/eV per atom
&SYSTEM
  ibrav = 0, nat = 4, ntyp = 3
/
ATOMIC_SPECIES
Pd 106.42 Pd.upf
Te 127.60 Te.upf
Eu 151.96 Eu.upf
ATOMIC_POSITIONS crystal
Pd 0.750 0.750 0.750
Te 0.500 0.500 0.500
Pd 0.250 0.250 0.250
Eu 0.000 0.000 0.000
CELL_PARAMETERS angstrom
-4.045 2.818 0.094
-3.890 -1.177 -2.791
-4.128 -1.682 2.108